a:
Entry from Alexandria via LeMat-Bulk: a crystal of LiMgCu relaxed with PBEsol (SCAN).

Symmetry: P3m1

The structure in extended XYZ format:
```
3
Lattice="2.766 0.000 0.000 0.000 4.341 0.000 0.000 -2.170 3.759" Properties=species:S:1:pos:R:3 pbc="T T T"
Mg 0.951 0.000 2.506
Cu 2.582 0.000 0.000
Li 2.000 2.170 1.253
```



b:
Entry from Alexandria via LeMat-Bulk: a crystal of LiMgCu relaxed with PBEsol (SCAN).

Symmetry: I4mm

The structure in extended XYZ format:
```
3
Lattice="-1.442 -1.721 2.224 -0.960 -2.048 -2.207 5.005 -0.536 0.585" Properties=species:S:1:pos:R:3 pbc="T T T"
Mg -0.004 -2.646 0.195
Cu 2.532 -4.261 0.590
Li 2.677 -1.704 0.417
```



Quick one: least stable of them? a